! PBE Be2InH, relaxed; values from VASP
! * energy above the lowest structure with this stoichiometry: 0 meV per atom
&SYSTEM
  ibrav = 0, nat = 8, ntyp = 3
/
ATOMIC_SPECIES
Be 9.01 Be.upf
In 114.82 In.upf
H 1.01 H.upf
CELL_PARAMETERS angstrom
-2.138 2.138 5.134
2.138 -2.138 5.134
2.138 2.138 -5.134
ATOMIC_POSITIONS crystal
Be 0.000 0.000 0.000
Be 0.000 0.000 0.500
Be 0.000 0.500 0.000
Be 0.500 0.000 0.500
In 0.375 0.625 0.750
In 0.625 0.375 0.250
H 0.125 0.875 0.250
H 0.875 0.125 0.750


! PBE BeIn2H, relaxed; values from VASP
! * energy above the lowest structure with this stoichiometry: 45 meV per atom
&SYSTEM
  ibrav = 0, nat = 4, ntyp = 3
/
ATOMIC_SPECIES
Be 9.01 Be.upf
In 114.82 In.upf
H 1.01 H.upf
CELL_PARAMETERS angstrom
0.000 3.181 3.181
3.181 0.000 3.181
3.181 3.181 0.000
ATOMIC_POSITIONS crystal
Be 0.000 0.000 0.000
In 0.250 0.250 0.250
In 0.750 0.750 0.750
H 0.500 0.500 0.500


no.,total DFT energy (no corrections) (eV per atom)
1,-3.0127
2,-2.5417